DFT (PBE) results for a relaxed structure of Zn2SnPd8.

Unit cell a=7.313 b=7.313 c=7.313 alpha=146.63 beta=124.41 gamma=66.41
Sites, in units of the cell vectors:
1 Zn 0.190 0.190 0.000
2 Zn 0.810 0.810 0.000
3 Sn 0.500 0.500 0.000
4 Pd 0.061 0.340 0.721
5 Pd 0.197 0.000 0.197
6 Pd 0.348 0.848 0.500
7 Pd 0.381 0.660 0.721
8 Pd 0.619 0.340 0.279
9 Pd 0.652 0.152 0.500
10 Pd 0.803 0.000 0.803
11 Pd 0.939 0.660 0.279

- ρ (g/cm³) = 10.430
- M_tot (μB per formula unit) = 0.00
- formation enthalpy at 0 K (eV per atom) = -0.36
- calculated total energy (eV for the cell shown) = -52.105
- space-group type = No. 71

***

DFT (PBE) results for a relaxed structure of ZnSnPd3.

Unit cell a=4.630 b=4.630 c=4.630 alpha=90.00 beta=90.00 gamma=90.00
Sites, in units of the cell vectors:
1 Zn 0.000 0.000 0.000
2 Sn 0.500 0.500 0.500
3 Pd 0.000 0.000 0.500
4 Pd 0.000 0.500 0.000
5 Pd 0.500 0.000 0.000

- ρ (g/cm³) = 8.423
- M_tot (μB per formula unit) = 0.00
- formation enthalpy at 0 K (eV per atom) = 0.17
- calculated total energy (eV for the cell shown) = -20.024
- space-group type = No. 221

***

DFT (PBE) results for a relaxed structure of Zn4SnPd.

Unit cell a=5.189 b=5.189 c=5.189 alpha=60.00 beta=60.00 gamma=60.00
Sites, in units of the cell vectors:
1 Zn 0.124 0.124 0.124
2 Zn 0.124 0.124 0.628
3 Zn 0.124 0.628 0.124
4 Zn 0.628 0.124 0.124
5 Sn 0.500 0.500 0.500
6 Pd 0.750 0.750 0.750

- ρ (g/cm³) = 8.181
- M_tot (μB per formula unit) = 0.00
- formation enthalpy at 0 K (eV per atom) = -0.09
- calculated total energy (eV for the cell shown) = -14.824
- space-group type = No. 216

***

DFT (PBE) results for a relaxed structure of Zn2SnPd.

Unit cell a=3.454 b=3.454 c=5.802 alpha=90.00 beta=90.00 gamma=90.00
Sites, in units of the cell vectors:
1 Zn 0.000 0.000 0.219
2 Zn 0.000 0.000 0.781
3 Sn 0.500 0.500 0.500
4 Pd 0.500 0.500 0.000

- ρ (g/cm³) = 8.540
- M_tot (μB per formula unit) = 0.00
- formation enthalpy at 0 K (eV per atom) = -0.19
- calculated total energy (eV for the cell shown) = -12.496
- space-group type = No. 123